Record 1
Zr2MoPb: optimized geometry, PBE.

The structure in extended XYZ format:
```
4
Lattice="1.736 -2.633 0.000 1.736 2.633 0.000 0.000 0.000 9.565" Properties=species:S:1:pos:R:3 pbc="T T T"
Zr 0.000 0.000 0.000
Zr 1.736 0.000 2.594
Mo 0.000 0.000 4.664
Pb 1.736 0.000 6.980
```

Output
spin magnetization	0.00	Bohr magnetons per cell
energy relative to the elements	0.245	eV/atom
SG	Cmm2

---

Record 2
ZrMoPb2: optimized geometry, PBE.

The structure in extended XYZ format:
```
4
Lattice="3.451 0.000 0.000 0.000 3.451 0.000 0.000 0.000 7.299" Properties=species:S:1:pos:R:3 pbc="T T T"
Zr 0.000 0.000 0.000
Mo 0.000 0.000 3.650
Pb 1.726 1.726 1.990
Pb 1.726 1.726 5.309
```

Output
spin magnetization	0.00	Bohr magnetons per cell
energy relative to the elements	0.375	eV/atom
SG	P4/mmm

---

Record 3
Zr2MoPb: optimized geometry, PBE.

The structure in extended XYZ format:
```
4
Lattice="3.348 0.000 0.000 0.000 4.725 0.000 -1.155 0.000 5.469" Properties=species:S:1:pos:R:3 pbc="T T T"
Zr 0.000 0.000 0.000
Zr -0.008 2.363 3.521
Mo 1.748 2.363 0.619
Pb 1.646 0.000 2.516
```

Output
spin magnetization	0.00	Bohr magnetons per cell
energy relative to the elements	0.058	eV/atom
SG	Pm

---

Record 4
ZrMoPb2: optimized geometry, PBE.

The structure in extended XYZ format:
```
4
Lattice="3.712 0.000 0.000 0.000 4.647 0.000 0.000 0.000 5.167" Properties=species:S:1:pos:R:3 pbc="T T T"
Zr 0.000 0.000 0.000
Mo 1.856 0.000 2.583
Pb 0.000 2.323 2.583
Pb 1.856 2.323 0.000
```

Output
spin magnetization	0.00	Bohr magnetons per cell
energy relative to the elements	0.369	eV/atom
SG	Pmmm

---

Record 5
Zr2MoPb: optimized geometry, PBE.

The structure in extended XYZ format:
```
4
Lattice="1.672 0.965 9.202 -1.672 0.965 9.202 0.000 -1.931 9.202" Properties=species:S:1:pos:R:3 pbc="T T T"
Zr 0.000 0.000 6.592
Zr 0.000 0.000 21.015
Mo 0.000 0.000 13.803
Pb 0.000 0.000 0.000
```

Output
spin magnetization	0.00	Bohr magnetons per cell
energy relative to the elements	0.037	eV/atom
SG	R-3m

---

Record 6
ZrMoPb2: optimized geometry, PBE.

The structure in extended XYZ format:
```
4
Lattice="0.000 3.589 3.589 3.589 0.000 3.589 3.589 3.589 0.000" Properties=species:S:1:pos:R:3 pbc="T T T"
Zr 0.000 0.000 0.000
Mo 1.795 1.795 1.795
Pb 3.589 3.589 3.589
Pb 5.384 5.384 5.384
```

Output
spin magnetization	1.02	Bohr magnetons per cell
energy relative to the elements	0.569	eV/atom
SG	F-43m

---

Record 7
Zr2MoPb: optimized geometry, PBE.

The structure in extended XYZ format:
```
4
Lattice="-1.870 2.462 4.582 1.870 -2.462 4.582 1.870 2.462 -4.582" Properties=species:S:1:pos:R:3 pbc="T T T"
Zr 0.000 0.000 2.045
Zr 0.000 0.000 7.120
Mo 1.870 0.000 0.000
Pb 0.000 2.462 0.000
```

Output
spin magnetization	0.00	Bohr magnetons per cell
energy relative to the elements	0.026	eV/atom
SG	Immm

---

Record 8
ZrMoPb2: optimized geometry, PBE.

The structure in extended XYZ format:
```
4
Lattice="1.697 0.980 9.818 -1.697 0.980 9.818 0.000 -1.960 9.818" Properties=species:S:1:pos:R:3 pbc="T T T"
Zr 0.000 0.000 0.000
Mo 0.000 0.000 7.896
Pb 0.000 0.000 15.495
Pb 0.000 0.000 22.335
```

Output
spin magnetization	0.00	Bohr magnetons per cell
energy relative to the elements	0.297	eV/atom
SG	R3m

---

Record 9
ZrMoPb: optimized geometry, PBE.

The structure in extended XYZ format:
```
3
Lattice="3.352 0.000 0.000 -1.676 2.903 0.000 0.000 0.000 6.813" Properties=species:S:1:pos:R:3 pbc="T T T"
Zr 0.000 0.000 0.000
Mo 1.676 0.968 1.970
Pb 0.000 1.936 4.209
```

Output
spin magnetization	0.00	Bohr magnetons per cell
energy relative to the elements	0.346	eV/atom
SG	P3m1

---

Record 10
ZrMo4Pb: optimized geometry, PBE.

The structure in extended XYZ format:
```
6
Lattice="0.000 3.810 3.810 3.810 0.000 3.810 3.810 3.810 0.000" Properties=species:S:1:pos:R:3 pbc="T T T"
Zr 0.000 0.000 0.000
Mo 2.860 2.860 2.860
Mo 4.760 4.760 2.860
Mo 4.760 2.860 4.760
Mo 2.860 4.760 4.760
Pb 5.715 5.715 5.715
```

Output
spin magnetization	0.00	Bohr magnetons per cell
energy relative to the elements	0.182	eV/atom
SG	F-43m

---

Record 11
Zr4MoPb: optimized geometry, PBE.

The structure in extended XYZ format:
```
6
Lattice="0.000 4.042 4.042 4.042 0.000 4.042 4.042 4.042 0.000" Properties=species:S:1:pos:R:3 pbc="T T T"
Zr 0.993 0.993 0.993
Zr 3.049 3.049 0.993
Zr 3.049 0.993 3.049
Zr 0.993 3.049 3.049
Mo 6.063 6.063 6.063
Pb 4.042 4.042 4.042
```

Output
spin magnetization	0.00	Bohr magnetons per cell
energy relative to the elements	0.463	eV/atom
SG	F-43m

---

Record 12
ZrMoPb2: optimized geometry, PBE.

The structure in extended XYZ format:
```
4
Lattice="-1.807 2.480 5.021 1.807 -2.480 5.021 1.807 2.480 -5.021" Properties=species:S:1:pos:R:3 pbc="T T T"
Zr 0.000 0.000 0.000
Mo 1.807 0.000 2.132
Pb 0.000 0.000 4.588
Pb 0.000 2.480 2.327
```

Output
spin magnetization	0.00	Bohr magnetons per cell
energy relative to the elements	0.343	eV/atom
SG	Imm2